1.
Entry from the Alexandria database: an optimized crystal structure of Tb3Nd2Y3 (PBE).

ΔE_f ... 0.02 eV per atom
Energy above the lowest structure with this stoichiometry ... 19 meV per atom
V ... 32.9 Å³/atom

a = 5.0921 Å, b = 5.0939 Å, c = 20.2750 Å
α = 90.00°, β = 90.00°, γ = 90.00°
Last column: nearest neighbours and their distance in Å.
Fractional coordinates of all 16 atoms:
Tb 0.0000 0.0000 0.0000  4 Tb 3.57, 8 Y 3.57-3.60
Tb 0.0000 0.5000 0.3765  2 Tb 3.57, 6 Y 3.57-3.60, 4 Nd 3.61
Tb 0.0000 0.5000 0.6235  2 Tb 3.57, 6 Y 3.57-3.60, 4 Nd 3.61
Tb 0.5000 0.0000 0.1235  2 Tb 3.57, 6 Y 3.57-3.60, 4 Nd 3.61
Tb 0.5000 0.0000 0.8765  2 Tb 3.57, 6 Y 3.57-3.60, 4 Nd 3.61
Tb 0.5000 0.5000 0.5000  4 Tb 3.57, 8 Y 3.57-3.60
Nd 0.0000 0.0000 0.2501  4 Nd 3.60, 4 Y 3.61, 4 Tb 3.61
Nd 0.0000 0.0000 0.7499  4 Nd 3.60, 4 Y 3.61, 4 Tb 3.61
Nd 0.5000 0.5000 0.2499  4 Nd 3.60, 4 Y 3.61, 4 Tb 3.61
Nd 0.5000 0.5000 0.7501  4 Nd 3.60, 4 Y 3.61, 4 Tb 3.61
Y 0.0000 0.0000 0.5000  4 Y 3.57, 8 Tb 3.57-3.60
Y 0.0000 0.5000 0.1235  2 Y 3.57, 6 Tb 3.57-3.60, 4 Nd 3.61
Y 0.0000 0.5000 0.8765  2 Y 3.57, 6 Tb 3.57-3.60, 4 Nd 3.61
Y 0.5000 0.0000 0.3765  2 Y 3.57, 6 Tb 3.57-3.60, 4 Nd 3.61
Y 0.5000 0.0000 0.6235  2 Y 3.57, 6 Tb 3.57-3.60, 4 Nd 3.61
Y 0.5000 0.5000 0.0000  4 Y 3.57, 8 Tb 3.57-3.60


2.
Entry from the Alexandria database: an optimized crystal structure of TbNd12Y7 (PBE).

ΔE_f ... 0.21 eV per atom
Energy above the lowest structure with this stoichiometry ... 0 meV per atom
V ... 34.7 Å³/atom

a = 8.8578 Å, b = 8.8578 Å, c = 8.8578 Å
α = 88.40°, β = 88.40°, γ = 88.40°
Last column: nearest neighbours and their distance in Å.
Fractional coordinates of all 20 atoms:
Tb 0.0000 0.0000 0.0000  6 Nd 3.55, 6 Y 3.78
Nd 0.1394 0.6140 0.4897  4 Nd 3.23-3.40, 1 Y 3.33
Nd 0.1466 0.2735 0.7397  3 Nd 3.25-3.40, 1 Tb 3.55
Nd 0.2603 0.8534 0.7265  3 Nd 3.25-3.40, 1 Tb 3.55
Nd 0.2735 0.7397 0.1466  3 Nd 3.25-3.40, 1 Tb 3.55
Nd 0.3860 0.5103 0.8606  4 Nd 3.23-3.40, 1 Y 3.33
Nd 0.4897 0.1394 0.6140  4 Nd 3.23-3.40, 1 Y 3.33
Nd 0.5103 0.8606 0.3860  4 Nd 3.23-3.40, 1 Y 3.33
Nd 0.6140 0.4897 0.1394  4 Nd 3.23-3.40, 1 Y 3.33
Nd 0.7265 0.2603 0.8534  3 Nd 3.25-3.40, 1 Tb 3.55
Nd 0.7397 0.1466 0.2735  3 Nd 3.25-3.40, 1 Tb 3.55
Nd 0.8534 0.7265 0.2603  3 Nd 3.25-3.40, 1 Tb 3.55
Nd 0.8606 0.3860 0.5103  4 Nd 3.23-3.40, 1 Y 3.33
Y 0.0667 0.3880 0.1487  3 Y 3.47-3.57, 6 Nd 3.64-3.83, 1 Tb 3.78
Y 0.1487 0.0667 0.3880  3 Y 3.47-3.57, 6 Nd 3.64-3.83, 1 Tb 3.78
Y 0.3880 0.1487 0.0667  3 Y 3.47-3.57, 6 Nd 3.64-3.83, 1 Tb 3.78
Y 0.5000 0.5000 0.5000  6 Nd 3.33
Y 0.6120 0.8513 0.9333  3 Y 3.47-3.57, 6 Nd 3.64-3.83, 1 Tb 3.78
Y 0.8513 0.9333 0.6120  3 Y 3.47-3.57, 6 Nd 3.64-3.83, 1 Tb 3.78
Y 0.9333 0.6120 0.8513  3 Y 3.47-3.57, 6 Nd 3.64-3.83, 1 Tb 3.78


3.
Entry from the Alexandria database: an optimized crystal structure of TbNd6Y12 (PBE).

ΔE_f ... 0.21 eV per atom
Energy above the lowest structure with this stoichiometry ... 91 meV per atom
V ... 34.5 Å³/atom

a = 8.8132 Å, b = 8.8132 Å, c = 8.8132 Å
α = 99.10°, β = 99.10°, γ = 99.10°
Last column: nearest neighbours and their distance in Å.
Fractional coordinates of all 19 atoms:
Tb 0.0000 0.0000 0.0000  6 Nd 3.46
Nd 0.0972 0.0972 0.6580  1 Nd 3.11, 1 Tb 3.46
Nd 0.0972 0.6580 0.0972  1 Nd 3.11, 1 Tb 3.46
Nd 0.3420 0.9028 0.9028  1 Nd 3.11, 1 Tb 3.46
Nd 0.6580 0.0972 0.0972  1 Nd 3.11, 1 Tb 3.46
Nd 0.9028 0.3420 0.9028  1 Nd 3.11, 1 Tb 3.46
Nd 0.9028 0.9028 0.3420  1 Nd 3.11, 1 Tb 3.46
Y 0.0811 0.3531 0.3531  6 Y 3.38-3.65, 2 Nd 3.77
Y 0.2422 0.5000 0.7578  6 Y 3.38-3.57, 4 Nd 3.50-3.60
Y 0.2422 0.7578 0.5000  6 Y 3.38-3.57, 4 Nd 3.50-3.60
Y 0.3531 0.0811 0.3531  6 Y 3.38-3.65, 2 Nd 3.77
Y 0.3531 0.3531 0.0811  6 Y 3.38-3.65, 2 Nd 3.77
Y 0.5000 0.2422 0.7578  6 Y 3.38-3.57, 4 Nd 3.50-3.60
Y 0.5000 0.7578 0.2422  6 Y 3.38-3.57, 4 Nd 3.50-3.60
Y 0.6469 0.6469 0.9189  6 Y 3.38-3.65, 2 Nd 3.77
Y 0.6469 0.9189 0.6469  6 Y 3.38-3.65, 2 Nd 3.77
Y 0.7578 0.2422 0.5000  6 Y 3.38-3.57, 4 Nd 3.50-3.60
Y 0.7578 0.5000 0.2422  6 Y 3.38-3.57, 4 Nd 3.50-3.60
Y 0.9189 0.6469 0.6469  6 Y 3.38-3.65, 2 Nd 3.77


4.
Entry from the Alexandria database: an optimized crystal structure of Tb4Nd5Y (PBE).

ΔE_f ... 0.15 eV per atom
Energy above the lowest structure with this stoichiometry ... 130 meV per atom
V ... 34.7 Å³/atom

a = 9.3356 Å, b = 9.3356 Å, c = 10.5526 Å
α = 95.92°, β = 95.92°, γ = 22.32°
Last column: nearest neighbours and their distance in Å.
Fractional coordinates of all 10 atoms:
Tb 0.0453 0.0453 0.2616  2 Y 3.27, 4 Nd 3.31-3.44, 4 Tb 3.36-3.61
Tb 0.3175 0.3175 0.5875  6 Tb 3.36-3.61, 1 Y 3.56, 1 Nd 3.69
Tb 0.6825 0.6825 0.4125  6 Tb 3.36-3.61, 1 Y 3.56, 1 Nd 3.69
Tb 0.9547 0.9547 0.7384  2 Y 3.27, 4 Nd 3.31-3.44, 4 Tb 3.36-3.61
Nd 0.1422 0.1422 0.7311  2 Tb 3.44-3.69, 2 Nd 3.61, 2 Y 3.83
Nd 0.1893 0.1893 0.0972  1 Tb 3.31, 4 Nd 3.61-3.66
Nd 0.5000 0.5000 0.0000  4 Tb 3.33, 2 Nd 3.61
Nd 0.8107 0.8107 0.9028  1 Tb 3.31, 4 Nd 3.61-3.66
Nd 0.8578 0.8578 0.2689  2 Tb 3.44-3.69, 2 Nd 3.61, 2 Y 3.83
Y 0.5000 0.5000 0.5000  6 Tb 3.27-3.56, 2 Y 3.61